Compound: Pu2CoGe6Pd
Source: the Alexandria database
Functional: PBE
Structure: optimized geometry

## Properties
E_form = -7.922 kcal/mol of atoms
Total magnetization = 1.144 μB/atom

Lattice parameters (Å, degrees): 6.0853 6.0853 5.7480 90.00 90.00 120.00
Space group P-3m1 (No. 164)
Unique sites:
Pu: 0.3333 0.6667 0.2282 x2
Co: 0.0000 0.0000 0.5000 x1
Ge: 0.1920 0.3840 0.7264 x6
Pd: 0.0000 0.0000 0.0000 x1